one.
Crystalline Zn2MoRu at its relaxed geometry, computed with GGA-PBE.

Cell and atoms, written as POSCAR:
```
Zn2MoRu
1.0
1.489 -2.263 0.000
1.489 2.263 0.000
0.000 0.000 8.872
Zn Mo Ru
2 1 1
direct
0.000 0.000 0.000
0.500 0.500 0.252
0.500 0.500 0.741
0.000 0.000 0.499
```

Computed properties:
* D(E_F): 3.60 states/eV/f.u.



two.
Crystalline Zn2MoRu at its relaxed geometry, computed with GGA-PBE.

Cell and atoms, written as POSCAR:
```
Zn2MoRu
1.0
4.403 -1.403 0.000
4.403 1.403 0.000
-0.686 0.000 4.724
Zn Mo Ru
2 1 1
direct
0.000 0.000 0.000
0.248 0.248 0.790
0.496 0.496 0.495
0.744 0.744 0.289
```

Computed properties:
* D(E_F): 3.33 states/eV/f.u.



three.
Crystalline Zn2MoRu at its relaxed geometry, computed with GGA-PBE.

Cell and atoms, written as POSCAR:
```
Zn2MoRu
1.0
-3.490 3.490 2.565
3.490 -3.490 2.565
3.490 3.490 -2.565
Zn Mo Ru
4 2 2
direct
0.116 0.125 0.491
0.375 0.884 0.009
0.634 0.625 0.509
0.875 0.366 0.991
0.250 0.750 0.500
0.500 0.500 0.000
0.000 0.000 0.000
0.750 0.250 0.500
```

Computed properties:
* D(E_F): 3.67 states/eV/f.u.



four.
Crystalline Zn2MoRu at its relaxed geometry, computed with GGA-PBE.

Cell and atoms, written as POSCAR:
```
Zn2MoRu
1.0
4.401 0.000 0.000
0.000 4.401 0.000
0.000 0.000 2.959
Zn Mo Ru
2 1 1
direct
0.000 0.500 0.000
0.500 0.000 0.000
0.000 0.000 0.500
0.500 0.500 0.500
```

Computed properties:
* D(E_F): 3.98 states/eV/f.u.



Winner for stability: two



one.
Crystalline Zn2MoRu at its relaxed geometry, computed with GGA-PBE.

Cell and atoms, written as POSCAR:
```
Zn2MoRu
1.0
4.608 -1.461 0.000
4.608 1.461 0.000
-1.129 0.000 4.358
Zn Mo Ru
2 1 1
direct
0.245 0.245 0.243
0.755 0.755 0.757
0.000 0.000 0.500
0.500 0.500 0.000
```

Computed properties:
* D(E_F): 2.37 states/eV/f.u.



two.
Crystalline Zn2MoRu at its relaxed geometry, computed with GGA-PBE.

Cell and atoms, written as POSCAR:
```
Zn2MoRu
1.0
-2.160 2.160 3.092
2.160 -2.160 3.092
2.160 2.160 -3.092
Zn Mo Ru
2 1 1
direct
0.000 0.000 0.000
0.750 0.250 0.500
0.250 0.750 0.500
0.500 0.500 0.000
```

Computed properties:
* D(E_F): 0.60 states/eV/f.u.



three.
Crystalline Zn2MoRu at its relaxed geometry, computed with GGA-PBE.

Cell and atoms, written as POSCAR:
```
Zn2MoRu
1.0
2.696 0.000 0.000
0.000 2.696 0.000
0.000 0.000 8.032
Zn Mo Ru
2 1 1
direct
0.000 0.000 0.241
0.000 0.000 0.759
0.500 0.500 0.500
0.500 0.500 0.000
```

Computed properties:
* D(E_F): 3.69 states/eV/f.u.



Winner for stability: two